[1]
The following is a DFT calculation (PBE-GGA) of crystalline Pa3HgO at its relaxed geometry.

Calculated values
total moment	0.0	Bohr magnetons per cell
VASP energy	-0.5568	Ry/atom
ΔE_f (raw)	-827	meV per atom

a = 4.762 Å, b = 4.762 Å, c = 4.762 Å
α = 90.00°, β = 90.00°, γ = 90.00°
Fractional coordinates of all 5 atoms:
O 0.000 0.000 0.000
Pa 0.500 0.000 0.000
Pa 0.000 0.500 0.000
Pa 0.000 0.000 0.500
Hg 0.500 0.500 0.500

[2]
The following is a DFT calculation (PBE-GGA) of crystalline TaNiRh2 at its relaxed geometry.

Calculated values
formation energy from the elements	-0.421	eV/atom
total moment	0.5	Bohr magnetons per cell
VASP energy	-0.6251	Ry/atom

a = 4.755 Å, b = 4.755 Å, c = 4.756 Å
α = 132.75°, β = 132.76°, γ = 69.03°
Fractional coordinates of all 4 atoms:
Rh 0.000 0.000 0.000
Ta 0.500 0.500 0.000
Rh 0.750 0.250 0.500
Ni 0.250 0.750 0.500

[3]
The following is a DFT calculation (PBE-GGA) of crystalline KTcNi at its relaxed geometry.

Calculated values
distance to the lowest polymorph of the same formula	203	meV/atom
formation energy from the elements	0.628	eV/atom
total moment	0.0	Bohr magnetons per cell
VASP energy	-0.3763	Ry/atom

a = 12.410 Å, b = 4.861 Å, c = 4.360 Å
α = 90.00°, β = 90.00°, γ = 90.00°
Fractional coordinates of all 12 atoms:
K 0.718 0.250 0.000
Tc 0.500 0.000 0.500
Ni 0.971 0.250 0.500
Tc 0.500 0.500 0.500
K 0.782 0.750 0.500
K 0.282 0.750 0.000
Tc 0.000 0.000 0.000
Ni 0.471 0.250 0.000
Ni 0.529 0.750 0.000
Tc 0.000 0.500 0.000
Ni 0.029 0.750 0.500
K 0.218 0.250 0.500

[4]
The following is a DFT calculation (PBE-GGA) of crystalline CsBiSbF2 at its relaxed geometry.

Calculated values
total moment	0.0	Bohr magnetons per cell
VASP energy	-0.2665	Ry/atom
ΔE_f (raw)	-1106	meV per atom

a = 4.959 Å, b = 5.992 Å, c = 4.959 Å
α = 90.00°, β = 90.00°, γ = 90.00°
Fractional coordinates of all 5 atoms:
Bi 0.000 0.500 0.000
F 0.000 0.000 0.500
F 0.500 0.000 0.000
Sb 0.000 0.000 0.000
Cs 0.500 0.500 0.500

[5]
The following is a DFT calculation (PBE-GGA) of crystalline V3ReS at its relaxed geometry.

Calculated values
distance to the lowest polymorph of the same formula	988	meV/atom
total moment	1.7	Bohr magnetons per cell
VASP energy	-0.5507	Ry/atom
ΔE_f (raw)	1294	meV per atom

a = 4.619 Å, b = 4.619 Å, c = 4.619 Å
α = 90.00°, β = 90.00°, γ = 90.00°
Fractional coordinates of all 5 atoms:
S 0.500 0.500 0.500
Re 0.000 0.000 0.000
V 0.000 0.500 0.000
V 0.500 0.000 0.000
V 0.000 0.000 0.500

[6]
The following is a DFT calculation (PBE-GGA) of crystalline Rb2Tl2Co at its relaxed geometry.

Calculated values
distance to the lowest polymorph of the same formula	0	meV/atom
formation energy from the elements	0.358	eV/atom
total moment	1.8	Bohr magnetons per cell
VASP energy	-0.1761	Ry/atom

a = 7.297 Å, b = 7.297 Å, c = 6.472 Å
α = 90.00°, β = 90.00°, γ = 90.00°
Fractional coordinates of all 10 atoms:
Tl 0.190 0.310 0.000
Co 0.000 0.000 0.000
Tl 0.810 0.690 0.000
Co 0.500 0.500 0.000
Tl 0.310 0.810 0.000
Rb 0.672 0.828 0.500
Rb 0.328 0.172 0.500
Rb 0.828 0.328 0.500
Rb 0.172 0.672 0.500
Tl 0.690 0.190 0.000

[7]
The following is a DFT calculation (PBE-GGA) of crystalline Cs3GaAs at its relaxed geometry.

Calculated values
distance to the lowest polymorph of the same formula	0	meV/atom
formation energy from the elements	-0.238	eV/atom
total moment	1.5	Bohr magnetons per cell
VASP energy	-0.1680	Ry/atom

a = 6.265 Å, b = 7.992 Å, c = 9.500 Å
α = 90.00°, β = 90.00°, γ = 91.26°
Fractional coordinates of all 10 atoms:
Ga 0.017 0.089 0.052
Cs 0.521 0.250 0.271
Cs 0.541 0.710 0.052
Cs 0.521 0.250 0.834
Cs 0.019 0.256 0.552
Cs 0.039 0.716 0.771
As 0.025 0.391 0.052
As 0.535 0.575 0.552
Ga 0.543 0.876 0.552
Cs 0.039 0.716 0.334

[8]
The following is a DFT calculation (PBE-GGA) of crystalline NiBiH3 at its relaxed geometry.

Calculated values
distance to the lowest polymorph of the same formula	710	meV/atom
total moment	0.0	Bohr magnetons per cell
VASP energy	-0.2096	Ry/atom

a = 4.111 Å, b = 4.111 Å, c = 4.111 Å
α = 90.00°, β = 90.00°, γ = 90.00°
Fractional coordinates of all 5 atoms:
H 0.000 0.500 0.000
Ni 0.500 0.500 0.500
H 0.000 0.000 0.500
Bi 0.000 0.000 0.000
H 0.500 0.000 0.000

[9]
The following is a DFT calculation (PBE-GGA) of crystalline HoGa2CuNi4 at its relaxed geometry.

Calculated values
formation energy from the elements	-0.353	eV/atom
total moment	0.0	Bohr magnetons per cell
VASP energy	-0.3737	Ry/atom

a = 4.074 Å, b = 4.074 Å, c = 8.219 Å
α = 75.65°, β = 75.65°, γ = 60.00°
Fractional coordinates of all 8 atoms:
Ho 0.000 0.000 0.000
Ni 0.401 0.401 0.796
Cu 0.500 0.500 0.500
Ni 0.873 0.873 0.381
Ni 0.127 0.127 0.619
Ga 0.238 0.238 0.285
Ga 0.762 0.762 0.715
Ni 0.599 0.599 0.204

[10]
The following is a DFT calculation (PBE-GGA) of crystalline NbPtCl2 at its relaxed geometry.

Calculated values
distance to the lowest polymorph of the same formula	0	meV/atom
total moment	0.0	Bohr magnetons per cell
VASP energy	-0.3816	Ry/atom
ΔE_f (raw)	-240	meV per atom

a = 8.716 Å, b = 8.716 Å, c = 8.716 Å
α = 20.53°, β = 20.53°, γ = 20.53°
Fractional coordinates of all 4 atoms:
Pt 0.000 0.000 0.000
Cl 0.096 0.096 0.096
Cl 0.904 0.904 0.904
Nb 0.500 0.500 0.500

[11]
The following is a DFT calculation (PBE-GGA) of crystalline SrTl2CdBi2 at its relaxed geometry.

Calculated values
formation energy from the elements	-0.317	eV/atom
total moment	0.0	Bohr magnetons per cell
VASP energy	-0.2082	Ry/atom

a = 5.001 Å, b = 8.066 Å, c = 10.189 Å
α = 90.00°, β = 90.00°, γ = 90.00°
Fractional coordinates of all 12 atoms:
Tl 0.000 0.344 0.158
Bi 0.000 0.248 0.826
Bi 0.000 0.748 0.174
Tl 0.500 0.526 0.902
Cd 0.500 0.161 0.672
Sr 0.000 0.993 0.451
Tl 0.500 0.026 0.098
Bi 0.500 0.774 0.620
Tl 0.000 0.844 0.842
Cd 0.500 0.661 0.328
Bi 0.500 0.274 0.380
Sr 0.000 0.493 0.549

[12]
The following is a DFT calculation (PBE-GGA) of crystalline Sm4BiSb2Pb at its relaxed geometry.

Calculated values
total moment	0.0	Bohr magnetons per cell
VASP energy	-0.3860	Ry/atom
ΔE_f (raw)	-913	meV per atom

a = 4.451 Å, b = 7.881 Å, c = 7.791 Å
α = 71.18°, β = 90.00°, γ = 90.00°
Fractional coordinates of all 8 atoms:
Sm 0.500 0.757 0.247
Sm 0.000 0.242 0.253
Sm 0.000 0.758 0.747
Sb 0.500 0.000 0.500
Pb 0.500 0.500 0.000
Sm 0.500 0.243 0.753
Sb 0.000 0.000 0.000
Bi 0.000 0.500 0.500